Entry 1:
First-principles (GGA-PBE) data for an optimized crystal structure of SmSc5Hg4, as listed in Alexandria.

Calculated values
For the theoretical density, the calculation gives 8.411 g cm⁻³. For the electronic total energy, the calculation gives -4.09 eV per atom. For the density of states at the Fermi level, the calculation gives 11.8 states/eV per cell.

abc: 3.513 3.513 18.835
angles: 90.00 90.00 90.00
Sites, in units of the cell vectors:
Sm 0.000 0.000 0.000
Sc 0.500 0.500 0.126
Sc 0.500 0.500 0.314
Sc 0.500 0.500 0.500
Sc 0.500 0.500 0.686
Sc 0.500 0.500 0.874
Hg 0.000 0.000 0.217
Hg 0.000 0.000 0.406
Hg 0.000 0.000 0.594
Hg 0.000 0.000 0.783

Entry 2:
First-principles (GGA-PBE) data for an optimized crystal structure of Sm3ScHg6, as listed in Alexandria.

Calculated values
For the theoretical density, the calculation gives 11.170 g cm⁻³. For the electronic total energy, the calculation gives -2.63 eV per atom. For the density of states at the Fermi level, the calculation gives 16.2 states/eV per cell.

abc: 5.151 9.192 11.200
angles: 107.67 90.00 90.00
Sites, in units of the cell vectors:
Sm 0.250 0.516 0.386
Sm 0.750 0.484 0.614
Sm 0.250 0.349 0.780
Sm 0.750 0.651 0.220
Sm 0.250 0.774 0.992
Sm 0.750 0.226 0.008
Sc 0.250 0.943 0.590
Sc 0.750 0.057 0.410
Hg 0.250 0.471 0.084
Hg 0.750 0.529 0.916
Hg 0.250 0.153 0.170
Hg 0.750 0.847 0.830
Hg 0.250 0.676 0.693
Hg 0.750 0.324 0.307
Hg 0.250 0.228 0.487
Hg 0.750 0.772 0.513
Hg 0.250 0.865 0.309
Hg 0.750 0.135 0.691
Hg 0.250 0.053 0.867
Hg 0.750 0.947 0.133

Entry 3:
First-principles (GGA-PBE) data for an optimized crystal structure of SmSc2Hg3, as listed in Alexandria.

Calculated values
For the theoretical density, the calculation gives 9.893 g cm⁻³. For the electronic total energy, the calculation gives -3.48 eV per atom. For the density of states at the Fermi level, the calculation gives 5.8 states/eV per cell.

abc: 3.582 3.582 11.016
angles: 90.00 90.00 90.00
Last column: magnetic moment on the atom in μB.
Sites, in units of the cell vectors:
Sm 0.500 0.500 0.500  0.22
Sc 0.500 0.500 0.843  0.07
Sc 0.500 0.500 0.157  0.07
Hg 0.000 0.000 0.000  0.00
Hg 0.000 0.000 0.691  0.01
Hg 0.000 0.000 0.309  0.01

Entry 4:
First-principles (GGA-PBE) data for an optimized crystal structure of Sm6ScHg2, as listed in Alexandria.

Calculated values
For the theoretical density, the calculation gives 8.378 g cm⁻³. For the electronic total energy, the calculation gives -4.11 eV per atom. For the density of states at the Fermi level, the calculation gives 9.8 states/eV per cell.

abc: 3.711 6.602 11.806
angles: 75.15 80.96 73.68
Sites, in units of the cell vectors:
Sm 0.682 0.514 0.122
Sm 0.318 0.486 0.878
Sm 0.310 0.788 0.593
Sm 0.975 0.713 0.336
Sm 0.025 0.287 0.664
Sm 0.690 0.212 0.407
Sc 0.000 0.000 0.000
Hg 0.367 0.085 0.181
Hg 0.633 0.915 0.819

Entry 5:
First-principles (GGA-PBE) data for an optimized crystal structure of SmSc2Hg6, as listed in Alexandria.

Calculated values
For the theoretical density, the calculation gives 9.808 g cm⁻³. For the electronic total energy, the calculation gives -2.24 eV per atom. For the density of states at the Fermi level, the calculation gives 6.7 states/eV per cell.

abc: 4.567 4.567 12.157
angles: 100.83 100.83 90.00
Sites, in units of the cell vectors:
Sm 0.000 0.000 0.000
Sc 0.329 0.329 0.658
Sc 0.671 0.671 0.342
Hg 0.907 0.407 0.814
Hg 0.407 0.907 0.814
Hg 0.093 0.593 0.186
Hg 0.750 0.250 0.500
Hg 0.250 0.750 0.500
Hg 0.593 0.093 0.186

Entry 6:
First-principles (GGA-PBE) data for an optimized crystal structure of Sm4ScHg2, as listed in Alexandria.

Calculated values
For the theoretical density, the calculation gives 7.824 g cm⁻³. For the electronic total energy, the calculation gives -3.73 eV per atom. For the density of states at the Fermi level, the calculation gives 10.9 states/eV per cell.

abc: 5.464 5.464 9.160
angles: 72.65 72.65 60.00
Sites, in units of the cell vectors:
Sm 0.730 0.730 0.810
Sm 0.870 0.870 0.391
Sm 0.270 0.270 0.190
Sm 0.130 0.130 0.609
Sc 0.500 0.500 0.500
Hg 0.610 0.610 0.171
Hg 0.390 0.390 0.829

Entry 7:
First-principles (GGA-PBE) data for an optimized crystal structure of Sm4ScHg, as listed in Alexandria.

Calculated values
For the theoretical density, the calculation gives 7.808 g cm⁻³. The energy above the most stable polymorph in this dataset is 0.0 meV/atom. For the density of states at the Fermi level, the calculation gives 7.8 states/eV per cell.

abc: 3.621 3.621 13.739
angles: 90.00 90.00 90.00
Sites, in units of the cell vectors:
Sm 0.500 0.500 0.834
Sm 0.500 0.500 0.166
Sm 0.000 0.000 0.649
Sm 0.000 0.000 0.351
Sc 0.000 0.000 0.000
Hg 0.500 0.500 0.500

Entry 8:
First-principles (GGA-PBE) data for an optimized crystal structure of Sm3ScHg2, as listed in Alexandria.

Calculated values
For the theoretical density, the calculation gives 8.903 g cm⁻³. The energy above the most stable polymorph in this dataset is 0.0 meV/atom. For the density of states at the Fermi level, the calculation gives 7.4 states/eV per cell.

abc: 5.211 6.814 9.426
angles: 90.00 90.00 90.00
Sites, in units of the cell vectors:
Sm 0.000 0.487 0.953
Sm 0.000 0.987 0.047
Sm 0.500 0.682 0.183
Sm 0.500 0.182 0.817
Sm 0.000 0.312 0.335
Sm 0.000 0.812 0.665
Sc 0.500 0.516 0.547
Sc 0.500 0.016 0.453
Hg 0.500 0.724 0.845
Hg 0.500 0.224 0.155
Hg 0.000 0.278 0.651
Hg 0.000 0.778 0.349

Entry 9:
First-principles (GGA-PBE) data for an optimized crystal structure of Sm3Sc2Hg7, as listed in Alexandria.

Calculated values
For the theoretical density, the calculation gives 10.288 g cm⁻³. For the electronic total energy, the calculation gives -2.70 eV per atom. For the density of states at the Fermi level, the calculation gives 7.7 states/eV per cell.

abc: 5.484 5.089 11.534
angles: 102.74 90.00 90.00
Sites, in units of the cell vectors:
Sm 0.500 0.500 0.000
Sm 0.500 0.672 0.343
Sm 0.500 0.328 0.657
Sc 0.000 0.858 0.717
Sc 0.000 0.142 0.283
Hg 0.000 0.421 0.842
Hg 0.000 0.725 0.450
Hg 0.000 0.000 0.000
Hg 0.000 0.579 0.158
Hg 0.500 0.090 0.180
Hg 0.500 0.910 0.820
Hg 0.000 0.275 0.550

Entry 10:
First-principles (GGA-PBE) data for an optimized crystal structure of Sm2ScHg, as listed in Alexandria.

Calculated values
For the theoretical density, the calculation gives 8.180 g cm⁻³. The energy above the most stable polymorph in this dataset is 100.4 meV/atom. For the density of states at the Fermi level, the calculation gives 6.0 states/eV per cell.

abc: 5.393 5.393 5.393
angles: 60.00 60.00 60.00
Last column: magnetic moment on the atom in μB.
Sites, in units of the cell vectors:
Sc 0.500 0.500 0.500  0.14
Hg 0.000 0.000 0.000  0.00
Sm 0.250 0.250 0.250  0.06
Sm 0.750 0.750 0.750  0.06

Entry 11:
First-principles (GGA-PBE) data for an optimized crystal structure of SmSc4Hg5, as listed in Alexandria.

Calculated values
For the theoretical density, the calculation gives 9.685 g cm⁻³. For the electronic total energy, the calculation gives -3.59 eV per atom. For the density of states at the Fermi level, the calculation gives 9.9 states/eV per cell.

abc: 3.559 3.559 18.043
angles: 90.00 90.00 90.00
Last column: magnetic moment on the atom in μB.
Sites, in units of the cell vectors:
Sm 0.000 0.000 0.000  0.21
Sc 0.000 0.000 0.211  0.04
Sc 0.000 0.000 0.404  0.03
Sc 0.000 0.000 0.596  0.03
Sc 0.000 0.000 0.789  0.04
Hg 0.500 0.500 0.117  0.01
Hg 0.500 0.500 0.307  0.00
Hg 0.500 0.500 0.500  0.00
Hg 0.500 0.500 0.693  0.00
Hg 0.500 0.500 0.883  0.01

Entry 12:
First-principles (GGA-PBE) data for an optimized crystal structure of SmScHg4, as listed in Alexandria.

Calculated values
For the theoretical density, the calculation gives 11.473 g cm⁻³. The energy above the most stable polymorph in this dataset is 35.2 meV/atom. For the density of states at the Fermi level, the calculation gives 4.3 states/eV per cell.

abc: 3.524 6.208 8.047
angles: 112.81 77.35 73.51
Last column: magnetic moment on the atom in μB.
Sites, in units of the cell vectors:
Sm 0.500 0.500 0.500  0.15
Sc 0.000 0.000 0.000  0.14
Hg 0.813 0.525 0.848  0.00
Hg 0.351 0.979 0.319  0.00
Hg 0.187 0.475 0.152  0.00
Hg 0.649 0.021 0.681  0.00